Entry one
NaMn2Rh2: relaxed, PBE.

Values from the calculation:
- Spin magnetization: 0.00 μB per atom

```
data_NaMn2Rh2
_space_group_name_H-M_alt 'P 4/m b m'
_space_group_IT_number 127
_space_group_name_Hall '-P 4 2ab'
_cell_length_a 7.447
_cell_length_b 7.447
_cell_length_c 2.598
_cell_angle_alpha 90.00
_cell_angle_beta 90.00
_cell_angle_gamma 90.00
loop_
_atom_site_label
_atom_site_fract_x
_atom_site_fract_y
_atom_site_fract_z
_atom_site_occupancy
Na1 0.000 0.000 0.000 1
Mn1 0.164 0.336 0.500 1
Rh1 0.128 0.628 0.000 1
```

=====

Entry two
NaMn2Rh2: relaxed, PBE.

Values from the calculation:
- Spin magnetization: 0.01 μB per atom

```
data_NaMn2Rh2
_space_group_name_H-M_alt 'P 4/m b m'
_space_group_IT_number 127
_space_group_name_Hall '-P 4 2ab'
_cell_length_a 7.389
_cell_length_b 7.389
_cell_length_c 2.626
_cell_angle_alpha 90.00
_cell_angle_beta 90.00
_cell_angle_gamma 90.00
loop_
_atom_site_label
_atom_site_fract_x
_atom_site_fract_y
_atom_site_fract_z
_atom_site_occupancy
Na1 0.000 0.000 0.000 1
Mn1 0.111 0.389 0.000 1
Rh1 0.172 0.672 0.500 1
```

=====

The energy of each structure relative to the most stable one, in kJ/mol of atoms, is as follows: entry one 9.2; entry two 0.0.